P.
VASP calculation (PBE) on a geometry-optimized Pa3P structure.

Structure (POSCAR):
```
Pa3P
1.0
3.289 0.000 0.000
0.000 3.296 0.000
0.000 0.000 8.876
Pa P
3 1
Direct
0.500 0.500 0.154 Pa
0.500 0.000 0.736 Pa
0.000 0.500 0.458 Pa
0.000 0.000 0.986 P
```

Properties
**SG**: Pmm2 (25)
**Size of the total moment**: 0.0 Bohr magnetons per cell
**N(E_F)**: 8.55 states/eV per cell

Q.
VASP calculation (PBE) on a geometry-optimized Pa3P structure.

Structure (POSCAR):
```
Pa3P
1.0
-2.038 -3.502 1.681
-0.886 -1.429 -4.052
3.782 -2.222 -0.044
Pa P
3 1
Direct
0.500 0.500 0.000 Pa
0.500 0.000 0.500 Pa
0.000 0.500 0.500 Pa
0.000 0.000 0.000 P
```

Properties
**SG**: Pm-3m (221)
**Size of the total moment**: 0.0 Bohr magnetons per cell
**N(E_F)**: 5.79 states/eV per cell

R.
VASP calculation (PBE) on a geometry-optimized Pa3P structure.

Structure (POSCAR):
```
Pa3P
1.0
3.841 0.000 0.000
0.000 3.841 0.000
-1.921 -1.921 6.699
Pa P
3 1
Direct
0.500 0.500 0.000 Pa
0.798 0.798 0.596 Pa
0.202 0.202 0.404 Pa
0.000 0.000 0.000 P
```

Properties
**SG**: I4/mmm (139)
**Size of the total moment**: 0.0 Bohr magnetons per cell
**N(E_F)**: 8.92 states/eV per cell

Which is most stable, and by how much? Q, by 219 meV/atom.

P.
VASP calculation (PBE) on a geometry-optimized Pa2P3Pd structure.

Structure (POSCAR):
```
Pa2P3Pd
1.0
-3.279 3.495 3.046
-5.859 -0.784 -5.406
1.231 -5.789 2.674
Pd P Pa
2 6 4
Direct
0.875 0.750 0.000 Pd
0.125 0.250 0.000 Pd
0.543 0.250 0.000 P
0.834 0.431 0.692 P
0.457 0.750 0.000 P
0.142 0.069 0.308 P
0.166 0.569 0.308 P
0.858 0.931 0.692 P
0.684 0.589 0.344 Pa
0.660 0.089 0.344 Pa
0.316 0.411 0.656 Pa
0.340 0.911 0.656 Pa
```

Properties
**SG**: C2/c (15)
**Size of the total moment**: 0.0 Bohr magnetons per cell
**N(E_F)**: 11.66 states/eV per cell

Q.
VASP calculation (PBE) on a geometry-optimized Pa2P3Pd structure.

Structure (POSCAR):
```
Pa2P3Pd
1.0
3.908 0.000 0.000
0.000 7.827 0.000
0.000 0.000 15.411
Pd Pa P
4 8 12
Direct
0.750 0.120 0.134 Pd
0.250 0.380 0.634 Pd
0.750 0.620 0.366 Pd
0.250 0.880 0.866 Pd
0.250 0.253 0.968 Pa
0.250 0.753 0.532 Pa
0.750 0.247 0.468 Pa
0.250 0.414 0.223 Pa
0.750 0.586 0.777 Pa
0.750 0.086 0.723 Pa
0.250 0.914 0.277 Pa
0.750 0.747 0.032 Pa
0.250 0.318 0.784 P
0.250 0.601 0.924 P
0.250 0.818 0.716 P
0.750 0.399 0.076 P
0.750 0.532 0.594 P
0.750 0.182 0.284 P
0.250 0.968 0.094 P
0.250 0.468 0.406 P
0.250 0.101 0.576 P
0.750 0.682 0.216 P
0.750 0.032 0.906 P
0.750 0.899 0.424 P
```

Properties
**SG**: Pnma (62)
**Size of the total moment**: 0.0 Bohr magnetons per cell
**N(E_F)**: 15.22 states/eV per cell

Which is most stable, and by how much? Q, by 239 meV/atom.

P.
VASP calculation (PBE) on a geometry-optimized PaPPd2 structure.

Structure (POSCAR):
```
PaPPd2
1.0
4.804 0.000 0.000
2.402 4.160 0.000
2.402 1.387 3.659
Pa Pd P
1 2 1
Direct
0.500 0.500 0.500 Pa
0.763 0.763 0.710 Pd
0.237 0.237 0.290 Pd
0.000 0.000 0.000 P
```

Properties
**SG**: R-3m (166)
**Size of the total moment**: 0.0 Bohr magnetons per cell
**N(E_F)**: 2.54 states/eV per cell

Q.
VASP calculation (PBE) on a geometry-optimized PaPPd2 structure.

Structure (POSCAR):
```
PaPPd2
1.0
-0.133 -2.271 3.202
-1.153 -2.664 -4.347
7.265 -1.686 -0.893
Pd Pa P
4 2 2
Direct
0.364 0.728 0.560 Pd
0.636 0.272 0.060 Pd
0.364 0.728 0.940 Pd
0.636 0.272 0.440 Pd
0.938 0.875 0.250 Pa
0.062 0.125 0.750 Pa
0.228 0.457 0.250 P
0.772 0.543 0.750 P
```

Properties
**SG**: Cmcm (63)
**Size of the total moment**: 0.0 Bohr magnetons per cell
**N(E_F)**: 2.44 states/eV per cell

Which is most stable, and by how much? Q, by 340 meV/atom.

P.
VASP calculation (PBE) on a geometry-optimized PaP2Pd4 structure.

Structure (POSCAR):
```
PaP2Pd4
1.0
-2.791 0.289 2.800
4.560 -3.535 4.909
2.856 6.678 2.156
Pd Pa P
8 2 4
Direct
0.000 0.672 0.919 Pd
0.000 0.919 0.672 Pd
0.500 0.419 0.828 Pd
0.000 0.328 0.081 Pd
0.500 0.828 0.419 Pd
0.500 0.581 0.172 Pd
0.500 0.172 0.581 Pd
0.000 0.081 0.328 Pd
0.000 0.500 0.500 Pa
0.500 0.000 0.000 Pa
0.000 0.223 0.777 P
0.500 0.723 0.723 P
0.500 0.277 0.277 P
0.000 0.777 0.223 P
```

Properties
**SG**: P4_2/mnm (136)
**Size of the total moment**: 0.0 Bohr magnetons per cell
**N(E_F)**: 7.48 states/eV per cell

Q.
VASP calculation (PBE) on a geometry-optimized PaP2Pd4 structure.

Structure (POSCAR):
```
PaP2Pd4
1.0
-3.933 0.590 1.056
-1.097 -3.243 -2.275
1.379 -2.408 6.481
Pd Pa P
4 1 2
Direct
0.500 0.827 0.653 Pd
0.000 0.329 0.658 Pd
0.000 0.671 0.342 Pd
0.500 0.173 0.347 Pd
0.000 0.000 0.000 Pa
0.500 0.418 0.837 P
0.500 0.582 0.163 P
```

Properties
**SG**: Cmmm (65)
**Size of the total moment**: 0.0 Bohr magnetons per cell
**N(E_F)**: 6.10 states/eV per cell

Which is most stable, and by how much? P, by 53 meV/atom.